(1)
# PrErTh2Sb4

PrErTh2Sb4 after structural relaxation (GGA-PBE, Alexandria).

Lattice parameters (Å, degrees): 4.4915 7.7792 7.7398 109.63 90.00 90.00
Fractional positions:
Pr (0.0000, 0.0000, 0.0000)
Er (0.5000, 0.5000, 0.0000)
Th (0.5000, 0.0000, 0.5000)
Th (0.0000, 0.5000, 0.5000)
Sb (0.5000, 0.2550, 0.2482)
Sb (0.5000, 0.7450, 0.7518)
Sb (0.0000, 0.2577, 0.7563)
Sb (0.0000, 0.7423, 0.2437)

Summary:
- Fermi-level density of states (states/eV per atom) = 0.56
- E_form (uncorrected) (eV per atom) = -1.024
- total DFT energy (no corrections) (eV per cell) = -48.86
- volume (Å³ per atom) = 31.84
- space-group type = P2/m, No. 10

---

(2)
# RbErSeS

RbErSeS after structural relaxation (GGA-PBE, Alexandria).

Lattice parameters (Å, degrees): 4.1063 4.1064 8.3045 90.01 104.31 120.00
Fractional positions:
Rb (0.9695, 0.3830, 0.3675)
Er (0.2977, 0.5467, 0.8597)
Se (0.0994, 0.9476, 0.0623)
S (0.5113, 0.1535, 0.6801)

Summary:
- Fermi-level density of states (states/eV per atom) = 0.00
- E_form (uncorrected) (eV per atom) = -1.765
- total DFT energy (no corrections) (eV per cell) = -20.20
- volume (Å³ per atom) = 29.06
- space-group type = R3m, No. 160